# 1
CeYInSn after structural relaxation, computed with PBE.

Output
theoretical density: 6.9 g/cm3
calculated formation energy: -47 kJ/mol of atoms
SG: No. 216

Cell and atoms, written as CIF:
```
data_CeYInSn
_space_group_name_H-M_alt 'P 1'
_space_group_IT_number 1
_space_group_name_Hall 'P 1'
_cell_length_a 5.400
_cell_length_b 5.400
_cell_length_c 5.400
_cell_angle_alpha 60.00
_cell_angle_beta 60.00
_cell_angle_gamma 60.00
loop_
_atom_site_label
_atom_site_type_symbol
_atom_site_fract_x
_atom_site_fract_y
_atom_site_fract_z
_atom_site_occupancy
Y1 Y 0.750 0.750 0.750 1
Sn1 Sn 0.000 0.000 0.000 1
Ce1 Ce 0.250 0.250 0.250 1
In1 In 0.500 0.500 0.500 1
```

# 2
CeZnInSn after structural relaxation, computed with PBE.

Output
theoretical density: 7.5 g/cm3
calculated formation energy: -38 kJ/mol of atoms
SG: No. 47

Cell and atoms, written as CIF:
```
data_CeZnInSn
_space_group_name_H-M_alt 'P 1'
_space_group_IT_number 1
_space_group_name_Hall 'P 1'
_cell_length_a 4.519
_cell_length_b 4.554
_cell_length_c 4.700
_cell_angle_alpha 90.00
_cell_angle_beta 90.00
_cell_angle_gamma 90.00
loop_
_atom_site_label
_atom_site_type_symbol
_atom_site_fract_x
_atom_site_fract_y
_atom_site_fract_z
_atom_site_occupancy
Ce1 Ce 0.500 0.500 0.000 1
Zn1 Zn 0.000 0.500 0.500 1
In1 In 0.500 0.000 0.500 1
Sn1 Sn 0.000 0.000 0.000 1
```

# 3
Sr3CeIn4 after structural relaxation, computed with PBE.

Output
theoretical density: 5.5 g/cm3
calculated formation energy: -37 kJ/mol of atoms
SG: No. 123

Cell and atoms, written as CIF:
```
data_Sr3CeIn4
_space_group_name_H-M_alt 'P 1'
_space_group_IT_number 1
_space_group_name_Hall 'P 1'
_cell_length_a 3.995
_cell_length_b 3.995
_cell_length_c 16.316
_cell_angle_alpha 90.00
_cell_angle_beta 90.00
_cell_angle_gamma 90.00
loop_
_atom_site_label
_atom_site_type_symbol
_atom_site_fract_x
_atom_site_fract_y
_atom_site_fract_z
_atom_site_occupancy
Sr1 Sr 0.500 0.500 0.245 1
Sr2 Sr 0.500 0.500 0.500 1
Sr3 Sr 0.500 0.500 0.755 1
Ce1 Ce 0.500 0.500 0.000 1
In1 In 0.000 0.000 0.886 1
In2 In 0.000 0.000 0.114 1
In3 In 0.000 0.000 0.372 1
In4 In 0.000 0.000 0.628 1
```

# 4
SrCeIn after structural relaxation, computed with PBE.

Output
theoretical density: 5.5 g/cm3
calculated formation energy: -19 kJ/mol of atoms
SG: No. 139

Cell and atoms, written as CIF:
```
data_SrCeIn
_space_group_name_H-M_alt 'P 1'
_space_group_IT_number 1
_space_group_name_Hall 'P 1'
_cell_length_a 3.893
_cell_length_b 3.893
_cell_length_c 13.810
_cell_angle_alpha 98.10
_cell_angle_beta 98.10
_cell_angle_gamma 90.00
loop_
_atom_site_label
_atom_site_type_symbol
_atom_site_fract_x
_atom_site_fract_y
_atom_site_fract_z
_atom_site_occupancy
Ce1 Ce 0.276 0.276 0.551 1
Ce2 Ce 0.724 0.724 0.449 1
In1 In 0.154 0.154 0.308 1
In2 In 0.846 0.846 0.692 1
Sr1 Sr 0.575 0.575 0.149 1
Sr2 Sr 0.425 0.425 0.851 1
```

# 5
Sr2CeIn3 after structural relaxation, computed with PBE.

Output
theoretical density: 5.7 g/cm3
calculated formation energy: -36 kJ/mol of atoms
SG: No. 65

Cell and atoms, written as CIF:
```
data_Sr2CeIn3
_space_group_name_H-M_alt 'P 1'
_space_group_IT_number 1
_space_group_name_Hall 'P 1'
_cell_length_a 5.647
_cell_length_b 8.941
_cell_length_c 8.051
_cell_angle_alpha 90.00
_cell_angle_beta 90.00
_cell_angle_gamma 71.59
loop_
_atom_site_label
_atom_site_type_symbol
_atom_site_fract_x
_atom_site_fract_y
_atom_site_fract_z
_atom_site_occupancy
Sr1 Sr 0.000 0.000 0.000 1
Sr2 Sr 0.000 0.000 0.500 1
Sr3 Sr 0.334 0.331 0.500 1
Sr4 Sr 0.666 0.669 0.500 1
Ce1 Ce 0.337 0.326 0.000 1
Ce2 Ce 0.663 0.674 0.000 1
In1 In 0.828 0.343 0.765 1
In2 In 0.500 0.000 0.241 1
In3 In 0.172 0.657 0.235 1
In4 In 0.828 0.343 0.235 1
In5 In 0.172 0.657 0.765 1
In6 In 0.500 0.000 0.759 1
```

# 6
SrCeIn after structural relaxation, computed with PBE.

Output
theoretical density: 5.4 g/cm3
calculated formation energy: -10 kJ/mol of atoms
SG: No. 107

Cell and atoms, written as CIF:
```
data_SrCeIn
_space_group_name_H-M_alt 'P 1'
_space_group_IT_number 1
_space_group_name_Hall 'P 1'
_cell_length_a 3.801
_cell_length_b 3.801
_cell_length_c 7.784
_cell_angle_alpha 104.13
_cell_angle_beta 104.13
_cell_angle_gamma 90.00
loop_
_atom_site_label
_atom_site_type_symbol
_atom_site_fract_x
_atom_site_fract_y
_atom_site_fract_z
_atom_site_occupancy
Sr1 Sr 0.302 0.302 0.604 1
Ce1 Ce 0.591 0.591 0.182 1
In1 In 0.957 0.957 0.915 1
```